Entry 1:
ScRe6: optimized geometry, PBE.

Cell: 8.3916 5.1547 10.8392 Å, 90.00 90.00 90.00°
Positions (direct):
Sc 0.2304 0.2500 0.0553
Sc 0.2696 0.7500 0.5553
Sc 0.7304 0.2500 0.4447
Sc 0.7696 0.7500 0.9447
Re 0.0738 0.0084 0.3069
Re 0.0738 0.4916 0.3069
Re 0.0801 0.7500 0.0780
Re 0.0827 0.2500 0.5211
Re 0.1371 0.7500 0.8493
Re 0.1807 0.2500 0.7559
Re 0.3193 0.7500 0.2559
Re 0.3629 0.2500 0.3493
Re 0.4173 0.7500 0.0211
Re 0.4199 0.2500 0.5780
Re 0.4262 0.5084 0.8069
Re 0.4262 0.9916 0.8069
Re 0.5738 0.0084 0.1931
Re 0.5738 0.4916 0.1931
Re 0.5801 0.7500 0.4220
Re 0.5827 0.2500 0.9789
Re 0.6371 0.7500 0.6507
Re 0.6807 0.2500 0.7441
Re 0.8193 0.7500 0.2441
Re 0.8629 0.2500 0.1507
Re 0.9173 0.7500 0.4789
Re 0.9199 0.2500 0.9220
Re 0.9262 0.5084 0.6931
Re 0.9262 0.9916 0.6931

Calculated values
- DFT formation energy (meV per atom) = 23
- energy above the most stable polymorph in this dataset (eV/atom) = 0.0000
- final energy (eV/atom) = -11.5518


Entry 2:
Cs2In4AgSn3: optimized geometry, PBE.

Cell: 5.2292 5.2292 12.0998 Å, 90.00 90.00 90.00°
Positions (direct):
Cs 0.0000 0.5000 0.2492
Cs 0.5000 0.0000 0.7508
In 0.0000 0.0000 0.5000
In 0.0000 0.5000 0.8800
In 0.5000 0.0000 0.1200
In 0.5000 0.5000 0.5000
Ag 0.5000 0.5000 0.0000
Sn 0.0000 0.0000 0.0000
Sn 0.0000 0.5000 0.6312
Sn 0.5000 0.0000 0.3688

Calculated values
- DFT formation energy (meV per atom) = -123
- final energy (eV/atom) = -2.8755


Entry 3:
CrRuAu3: optimized geometry, PBE.

Cell: 4.7599 4.7599 4.7599 Å, 90.00 90.00 90.00°
Positions (direct):
Cr 0.0000 0.0000 0.0000
Ru 0.5000 0.5000 0.5000
Au 0.0000 0.0000 0.5000
Au 0.0000 0.5000 0.0000
Au 0.5000 0.0000 0.0000

Calculated values
- DFT formation energy (meV per atom) = 1563
- energy above the most stable polymorph in this dataset (eV/atom) = 0.2976
- final energy (eV/atom) = -4.1833


Entry 4:
BeRh3: optimized geometry, PBE.

Cell: 4.7565 4.7565 4.7565 Å, 90.00 90.00 90.00°
Positions (direct):
Be 0.0000 0.0000 0.0000
Be 0.5000 0.5000 0.5000
Rh 0.0000 0.2500 0.5000
Rh 0.0000 0.7500 0.5000
Rh 0.2500 0.5000 0.0000
Rh 0.5000 0.0000 0.2500
Rh 0.5000 0.0000 0.7500
Rh 0.7500 0.5000 0.0000

Calculated values
- DFT formation energy (meV per atom) = 123
- final energy (eV/atom) = -6.3225


Entry 5:
RbZr3Sc: optimized geometry, PBE.

Cell: 5.0780 5.0780 5.0780 Å, 90.00 90.00 90.00°
Positions (direct):
Rb 0.0000 0.0000 0.0000
Zr 0.0000 0.0000 0.5000
Zr 0.0000 0.5000 0.0000
Zr 0.5000 0.0000 0.0000
Sc 0.5000 0.5000 0.5000

Calculated values
- DFT formation energy (meV per atom) = 1794
- energy above the most stable polymorph in this dataset (eV/atom) = 0.5033
- final energy (eV/atom) = -4.7943


Entry 6:
TaCrNi2H: optimized geometry, PBE.

Cell: 3.6415 3.6415 4.0649 Å, 90.00 90.00 90.00°
Positions (direct):
Ta 0.0000 0.0000 0.0000
Cr 0.5000 0.5000 0.0000
Ni 0.0000 0.5000 0.5000
Ni 0.5000 0.0000 0.5000
H 0.0000 0.0000 0.5000

Calculated values
- energy above the most stable polymorph in this dataset (eV/atom) = 0.0658
- final energy (eV/atom) = -7.3049


Entry 7:
TiNi3Bi: optimized geometry, PBE.

Cell: 4.4721 4.4721 4.4721 Å, 90.00 90.00 90.00°
Positions (direct):
Ti 0.0000 0.0000 0.0000
Ni 0.0000 0.0000 0.5000
Ni 0.0000 0.5000 0.0000
Ni 0.5000 0.0000 0.0000
Bi 0.5000 0.5000 0.5000

Calculated values
- DFT formation energy (meV per atom) = 669
- energy above the most stable polymorph in this dataset (eV/atom) = 0.0000
- final energy (eV/atom) = -5.1549


Entry 8:
TlSb2TeBr: optimized geometry, PBE.

Cell: 5.7996 5.7996 5.7076 Å, 90.00 90.00 90.00°
Positions (direct):
Tl 0.0000 0.0000 0.0000
Sb 0.0000 0.5000 0.0000
Sb 0.5000 0.0000 0.0000
Te 0.0000 0.0000 0.5000
Br 0.5000 0.5000 0.5000

Calculated values
- energy above the most stable polymorph in this dataset (eV/atom) = 0.1083
- formation energy from raw total energies (eV per atom) = 0.745
- final energy (eV/atom) = -2.3403


Question: Which of these has the lowest final energy?
Answer: ScRe6


Repeat the fourth record exactly.
BeRh3: optimized geometry, PBE.

Cell: 4.7565 4.7565 4.7565 Å, 90.00 90.00 90.00°
Positions (direct):
Be 0.0000 0.0000 0.0000
Be 0.5000 0.5000 0.5000
Rh 0.0000 0.2500 0.5000
Rh 0.0000 0.7500 0.5000
Rh 0.2500 0.5000 0.0000
Rh 0.5000 0.0000 0.2500
Rh 0.5000 0.0000 0.7500
Rh 0.7500 0.5000 0.0000

Calculated values
- DFT formation energy (meV per atom) = 123
- final energy (eV/atom) = -6.3225


Question: What is the formula in the fifth record?
Answer: RbZr3Sc


Question: Which formula does entry 7 have?
Answer: TiNi3Bi